1.
A geometry-optimized PmSbO structure, computed with PBE-GGA.

```
PmSbO
1.0
3.953 0.000 0.000
-1.977 3.424 0.000
0.000 0.000 10.181
Pm Sb O
2 2 2
direct
0.333 0.667 0.854
0.667 0.333 0.146
0.333 0.667 0.409
0.667 0.333 0.591
0.667 0.333 0.914
0.333 0.667 0.086
```

Output
- total magnetization (μB per formula unit) = 0.000
- DOS at the Fermi energy (states/eV/cell) = 2.02
- energy above the lowest structure with this stoichiometry (meV/atom) = 0
- space group = P-3m1 (164)

=====

2.
A geometry-optimized Pm6SbO12 structure, computed with PBE-GGA.

```
Pm6SbO12
1.0
-2.308 -5.995 -1.874
5.844 -1.933 2.626
-3.481 0.705 5.672
Pm O Sb
6 12 1
direct
0.299 0.140 0.610
0.701 0.860 0.390
0.610 0.299 0.140
0.390 0.701 0.860
0.860 0.390 0.701
0.140 0.610 0.299
0.559 0.410 0.823
0.066 0.961 0.298
0.177 0.441 0.590
0.823 0.559 0.410
0.039 0.702 0.934
0.410 0.823 0.559
0.961 0.298 0.066
0.934 0.039 0.702
0.441 0.590 0.177
0.702 0.934 0.039
0.298 0.066 0.961
0.590 0.177 0.441
0.000 0.000 0.000
```

Output
- total magnetization (μB per formula unit) = 1.157
- raw total energy (eV per cell) = -149.3
- DOS at the Fermi energy (states/eV/cell) = 7.99
- space group = R-3 (148)